Here is Nb3AlSb at its PBEsol-relaxed geometry from Alexandria. Energies are from SCAN.

Values from the calculation:
Uncorrected formation energy = 0.908 eV per atom
DOS(E_F) = 7.207 states/eV/cell
Size of the total moment = 0.006 μB per formula unit

Structure (extended XYZ):
```
5
Lattice="4.687 0.000 0.000 0.000 4.687 0.000 0.000 0.000 4.687" Properties=species:S:1:pos:R:3 pbc="T T T"
Nb 0.000 0.000 2.344
Nb 0.000 2.344 0.000
Nb 2.344 0.000 0.000
Al 0.000 0.000 0.000
Sb 2.344 2.344 2.344
```

=====

Here is RbAg5S3 at its PBEsol-relaxed geometry from Alexandria. Energies are from SCAN.

Values from the calculation:
Uncorrected formation energy = -0.382 eV per atom
Size of the total moment = 0.000 μB per formula unit

Structure (extended XYZ):
```
54
Lattice="13.170 0.000 0.000 -6.585 11.406 0.000 0.000 0.000 7.958" Properties=species:S:1:pos:R:3 pbc="T T T"
Rb 0.000 0.000 0.000
Rb 0.000 0.000 3.979
Rb 0.000 7.604 0.006
Rb 0.000 7.604 3.973
Rb 6.585 3.802 3.985
Rb 6.585 3.802 7.952
Ag -3.023 5.237 0.000
Ag -3.023 5.237 3.979
Ag -4.137 7.182 5.968
Ag -1.864 3.344 5.968
Ag -3.440 9.277 0.000
Ag -3.440 9.277 3.979
Ag 0.271 3.788 0.000
Ag 0.271 3.788 3.979
Ag -2.758 11.348 5.968
Ag 3.828 0.058 1.989
Ag 3.145 2.129 7.958
Ag 3.145 2.129 3.979
Ag 2.434 4.232 5.968
Ag 2.448 4.224 1.989
Ag 6.047 0.000 0.000
Ag 6.047 0.000 3.979
Ag 3.562 6.169 0.000
Ag 3.562 6.169 3.979
Ag 1.703 11.398 5.968
Ag 8.289 0.008 1.989
Ag 3.169 9.747 0.000
Ag 3.169 9.747 3.979
Ag 4.621 8.120 5.968
Ag 4.722 8.062 1.989
Ag 9.754 1.659 7.958
Ag 9.754 1.659 3.979
Ag 6.856 7.618 7.958
Ag 6.856 7.618 3.979
Ag 11.206 3.286 1.989
Ag 9.019 7.174 1.989
S -4.596 9.807 1.989
S -1.990 5.997 1.989
S 0.391 2.522 1.989
S -0.014 5.042 5.968
S 1.989 1.599 5.968
S -2.211 8.897 5.968
S -0.397 10.131 1.989
S 4.374 2.509 1.989
S 2.387 6.684 1.989
S 6.188 1.275 5.968
S 2.225 8.872 5.968
S 4.595 5.409 5.968
S 6.571 6.363 1.989
S 4.206 10.483 1.989
S 8.811 2.533 1.989
S 10.791 0.923 5.968
S 8.972 4.722 5.968
S 6.976 8.884 5.968
```

=====

Here is SrInCl at its PBEsol-relaxed geometry from Alexandria. Energies are from SCAN.

Values from the calculation:
Uncorrected formation energy = -0.838 eV per atom
DOS(E_F) = 1.022 states/eV/cell
Size of the total moment = 0.000 μB per formula unit

Structure (extended XYZ):
```
3
Lattice="0.000 3.594 3.594 3.594 0.000 3.594 3.594 3.594 0.000" Properties=species:S:1:pos:R:3 pbc="T T T"
Sr 0.000 0.000 0.000
In 3.594 3.594 3.594
Cl 1.797 1.797 1.797
```

=====

Here is NaNiGeRh2 at its PBEsol-relaxed geometry from Alexandria. Energies are from SCAN.

Values from the calculation:
DOS(E_F) = 3.300 states/eV/cell
Size of the total moment = 1.733 μB per formula unit

Structure (extended XYZ):
```
5
Lattice="4.439 0.000 0.000 0.000 4.439 0.000 0.000 0.000 4.489" Properties=species:S:1:pos:R:3 pbc="T T T"
Na 0.000 0.000 0.000
Ni 0.000 0.000 2.244
Ge 2.220 2.220 0.000
Rh 0.000 2.220 2.244
Rh 2.220 0.000 2.244
```

=====

Number 1: electronic total energy -2.0559 Ry/atom. Number 2: electronic total energy -1.7141 Ry/atom. Number 3: electronic total energy -1.6207 Ry/atom. Number 4: electronic total energy -1.5104 Ry/atom.